Record 1
Mg2CoH4 | PBE-GGA | relaxed

```
7
Lattice="-0.437 2.592 -1.139 -3.961 -0.234 0.988 1.749 1.135 5.516" Properties=species:S:1:pos:R:3 pbc="T T T"
Mg -2.154 1.823 1.374
Mg -0.495 1.670 3.991
Co 0.000 0.000 0.000
H 0.696 3.051 3.073
H -3.345 0.442 2.291
H -0.985 1.363 -0.122
H -1.663 2.130 5.487
```

Output
**Space group**: No. 12
**Spin magnetization**: 0.0 μB per formula unit
**Density**: 2.77 g/cm³
**Density of states at the Fermi level**: 1.27 states/eV per cell
**E**: -3.4342 eV/atom

Record 2
MgCo4H8 | PBE-GGA | relaxed

```
13
Lattice="-4.494 2.360 -0.159 1.212 -3.396 -3.576 0.737 -3.802 3.860" Properties=species:S:1:pos:R:3 pbc="T T T"
Mg 0.975 -3.599 0.142
Co 0.000 0.000 0.000
Co 1.343 -5.500 2.072
Co -1.641 -0.518 -1.867
Co -2.247 1.180 -0.079
H -1.047 -2.124 -1.944
H -1.498 -2.714 2.070
H -1.614 -0.414 -0.154
H 0.747 -3.895 2.189
H -0.931 -4.425 0.280
H 1.367 -5.631 0.361
H -3.912 0.793 -0.235
H -3.292 -0.943 -2.064
```

Output
**Space group**: No. 166
**Spin magnetization**: 2.3 μB per formula unit
**Density**: 4.32 g/cm³
**Density of states at the Fermi level**: 7.66 states/eV per cell
**E**: -4.3882 eV/atom

Record 3
MgCo3H | PBE-GGA | relaxed

```
5
Lattice="4.444 0.000 0.000 0.000 4.444 0.000 0.000 0.000 4.444" Properties=species:S:1:pos:R:3 pbc="T T T"
H 2.222 2.222 2.222
Mg 0.000 0.000 0.000
Co 0.000 2.222 0.000
Co 0.000 0.000 2.222
Co 2.222 0.000 0.000
```

Output
**Space group**: No. 221
**Spin magnetization**: 4.1 μB per formula unit
**Density**: 3.82 g/cm³
**Density of states at the Fermi level**: 4.81 states/eV per cell
**E**: -3.1421 eV/atom

Record 4
MgCo3H | PBE-GGA | relaxed

```
5
Lattice="3.697 0.000 0.000 0.000 3.697 0.000 0.000 0.000 3.697" Properties=species:S:1:pos:R:3 pbc="T T T"
H 0.000 0.000 0.000
Mg 1.849 1.849 1.849
Co 0.000 1.849 0.000
Co 0.000 0.000 1.849
Co 1.849 0.000 0.000
```

Output
**Space group**: No. 221
**Spin magnetization**: 3.8 μB per formula unit
**Density**: 6.64 g/cm³
**Density of states at the Fermi level**: 6.78 states/eV per cell
**E**: -5.1695 eV/atom

Record 5
Mg3CoH | PBE-GGA | relaxed

```
5
Lattice="-3.252 3.459 -0.698 -3.300 -3.317 -1.066 -1.251 -0.243 4.627" Properties=species:S:1:pos:R:3 pbc="T T T"
H -3.902 -0.050 1.431
Mg -1.650 -1.659 -0.533
Mg -0.625 -0.121 2.313
Mg -1.626 1.730 -0.349
Co 0.000 0.000 0.000
```

Output
**Space group**: No. 221
**Spin magnetization**: 0.0 μB per formula unit
**Density**: 2.00 g/cm³
**Density of states at the Fermi level**: 3.71 states/eV per cell
**E**: -2.2864 eV/atom

Record 6
Mg2CoH4 | PBE-GGA | relaxed

```
14
Lattice="-2.624 3.048 1.819 0.273 -2.137 3.975 7.751 0.436 -0.298" Properties=species:S:1:pos:R:3 pbc="T T T"
Mg 7.146 0.671 1.156
Mg -1.746 0.676 4.340
Mg 3.436 -0.633 3.280
Mg 1.964 1.981 2.216
Co -0.574 2.574 2.709
Co 5.974 -1.227 2.787
H 0.090 1.330 3.326
H -1.936 1.896 2.438
H 7.336 -0.548 3.058
H 0.221 0.300 5.243
H 2.249 0.837 4.152
H 5.179 1.048 0.253
H 5.311 0.017 2.170
H 3.151 0.511 1.344
```

Output
**Space group**: No. 11
**Spin magnetization**: 0.0 μB per formula unit
**Density**: 2.91 g/cm³
**Density of states at the Fermi level**: 4.81 states/eV per cell
**E**: -3.5779 eV/atom

Record 7
MgCoH | PBE-GGA | relaxed

```
6
Lattice="-2.453 3.453 1.368 -1.163 0.959 2.774 5.522 1.865 5.268" Properties=species:S:1:pos:R:3 pbc="T T T"
H -0.300 5.300 6.958
H 2.481 4.551 6.590
Mg 1.837 2.452 3.448
Mg 3.962 2.985 5.955
Co -0.357 1.072 3.008
Co -0.531 3.461 3.903
```

Output
**Space group**: No. 59
**Spin magnetization**: 1.4 μB per formula unit
**Density**: 4.36 g/cm³
**Density of states at the Fermi level**: 3.74 states/eV per cell
**E**: -4.0144 eV/atom

Record 8
MgCo2H2 | PBE-GGA | relaxed

```
5
Lattice="-1.984 1.058 -2.549 0.063 -3.121 -1.345 -4.480 -2.093 0.351" Properties=species:S:1:pos:R:3 pbc="T T T"
H -2.269 -1.426 -1.092
H -4.132 -2.730 -2.450
Mg 0.000 0.000 0.000
Co -3.712 -1.033 -2.072
Co -2.689 -3.123 -1.470
```

Output
**Space group**: No. 139
**Spin magnetization**: 2.1 μB per formula unit
**Density**: 4.78 g/cm³
**Density of states at the Fermi level**: 4.30 states/eV per cell
**E**: -4.4406 eV/atom